Below is crystalline LiPm3Cu8 at its relaxed geometry, with properties calculated at the GGA-PBE level.

The structure in CIF format:
```
data_LiPm3Cu8
_space_group_name_H-M_alt 'R 3 m'
_space_group_IT_number 160
_space_group_name_Hall 'R 3 -2"'
_cell_length_a 5.2190
_cell_length_b 5.2190
_cell_length_c 25.8801
_cell_angle_alpha 90.00
_cell_angle_beta 90.00
_cell_angle_gamma 120.00
loop_
_atom_site_label
_atom_site_fract_x
_atom_site_fract_y
_atom_site_fract_z
Li1 0.0000 0.0000 0.0000
Pm1 0.0000 0.0000 0.1197
Pm2 0.0000 0.0000 0.5096
Pm3 0.0000 0.0000 0.6361
Cu1 0.0000 0.0000 0.3179
Cu2 0.0000 0.0000 0.8156
Cu3 0.0016 0.5008 0.5684
Cu4 0.0086 0.5043 0.0650
```

Summary:
Formation energy (meV/atom): -126
Magnetic moment (μB/f.u.): 0.0
Calculated total energy (eV per atom): -4.203

Below is crystalline LiFeRu3 at its relaxed geometry, with properties calculated at the GGA-PBE level.

The structure in CIF format:
```
data_LiFeRu3
_space_group_name_H-M_alt 'P m -3 m'
_space_group_IT_number 221
_space_group_name_Hall '-P 4 2 3'
_cell_length_a 4.415
_cell_length_b 4.415
_cell_length_c 4.415
_cell_angle_alpha 90.00
_cell_angle_beta 90.00
_cell_angle_gamma 90.00
loop_
_atom_site_label
_atom_site_fract_x
_atom_site_fract_y
_atom_site_fract_z
Li1 0.000 0.000 0.000
Fe1 0.500 0.500 0.500
Ru1 0.000 0.500 0.500
```

Summary:
Formation energy (meV/atom): 1224
Magnetic moment (μB/f.u.): 0.0
Calculated total energy (eV per atom): -6.417

Below is crystalline TmAl11Cr at its relaxed geometry, with properties calculated at the GGA-PBE level.

The structure in CIF format:
```
data_TmAl11Cr
_space_group_name_H-M_alt 'C 1 2/m 1'
_space_group_IT_number 12
_space_group_name_Hall '-C 2y'
_cell_length_a 5.197
_cell_length_b 12.728
_cell_length_c 7.048
_cell_angle_alpha 90.00
_cell_angle_beta 110.75
_cell_angle_gamma 90.00
loop_
_atom_site_label
_atom_site_fract_x
_atom_site_fract_y
_atom_site_fract_z
Tm1 0.000 0.000 0.000
Al1 0.000 0.000 0.500
Al2 0.105 0.394 0.222
Al3 0.198 0.172 0.362
Al4 0.250 0.250 0.000
Cr1 0.000 0.500 0.500
```

Summary:
Formation energy (meV/atom): -141
Magnetic moment (μB/f.u.): 0.1
Calculated total energy (eV per atom): -4.392

Below is crystalline Er2AlRu at its relaxed geometry, with properties calculated at the GGA-PBE level.

The structure in CIF format:
```
data_Er2AlRu
_space_group_name_H-M_alt 'P 4/m m m'
_space_group_IT_number 123
_space_group_name_Hall '-P 4 2'
_cell_length_a 3.456
_cell_length_b 3.456
_cell_length_c 7.065
_cell_angle_alpha 90.00
_cell_angle_beta 90.00
_cell_angle_gamma 90.00
loop_
_atom_site_label
_atom_site_fract_x
_atom_site_fract_y
_atom_site_fract_z
Er1 0.000 0.000 0.230
Al1 0.500 0.500 0.500
Ru1 0.500 0.500 0.000
```

Summary:
Formation energy (meV/atom): -464
Magnetic moment (μB/f.u.): 0.0
Calculated total energy (eV per atom): -6.000

Question: Which value of magnetic moment does entry 2 give?
Answer: 0.0 μB/f.u.

Question: Which value of calculated total energy does entry 2 give?
Answer: -6.417 eV per atom